(1)
Entry from Alexandria: a relaxed PrHoTc4 crystal (GGA-PBE).

Cell: 5.4553 5.4553 5.4553 Å, 60.00 60.00 60.00°
With the nearest neighbours (Å) after each atom.
Positions (direct):
Pr 0.0000 0.0000 0.0000  12 Tc 3.20, 4 Ho 3.34
Ho 0.2500 0.2500 0.2500  12 Tc 3.20, 4 Pr 3.34
Tc 0.1255 0.6248 0.6248  6 Tc 2.72-2.73
Tc 0.6248 0.1255 0.6248  6 Tc 2.72-2.73
Tc 0.6248 0.6248 0.1255  6 Tc 2.72-2.73
Tc 0.6248 0.6248 0.6248  6 Tc 2.72-2.73

SG ... No. 216
Formation enthalpy at 0 K ... -0.091 eV/f.u.


(2)
Entry from Alexandria: a relaxed PrHo2Tc crystal (GGA-PBE).

Cell: 11.1945 11.1945 11.1945 Å, 17.70 17.70 17.70°
With the nearest neighbours (Å) after each atom.
Positions (direct):
Pr 0.0000 0.0000 0.0000  6 Pr 3.44, 2 Ho 3.51
Ho 0.1063 0.1063 0.1063  3 Tc 2.82
Ho 0.8937 0.8937 0.8937  3 Tc 2.82
Tc 0.5000 0.5000 0.5000  6 Ho 2.82

SG ... No. 166
Formation enthalpy at 0 K ... 0.950 eV/f.u.


(3)
Entry from Alexandria: a relaxed Pr2HoTc crystal (GGA-PBE).

Cell: 10.3732 10.3732 10.3732 Å, 20.07 20.07 20.07°
With the nearest neighbours (Å) after each atom.
Positions (direct):
Pr 0.2338 0.2338 0.2338  3 Tc 2.92
Pr 0.7662 0.7662 0.7662  3 Tc 2.92
Ho 0.0000 0.0000 0.0000  6 Ho 3.62, 6 Pr 3.68
Tc 0.5000 0.5000 0.5000  6 Pr 2.92

SG ... No. 166
Formation enthalpy at 0 K ... 1.265 eV/f.u.


(4)
Entry from Alexandria: a relaxed PrHoTc crystal (GGA-PBE).

Cell: 6.9097 6.9097 6.9097 Å, 150.58 150.58 42.08°
With the nearest neighbours (Å) after each atom.
Positions (direct):
Pr 0.0000 0.0000 0.0000  4 Tc 3.04, 1 Ho 3.32
Ho 0.7422 0.7422 0.0000  4 Tc 2.94
Tc 0.3642 0.3642 0.0000  4 Ho 2.94, 4 Pr 3.04

SG ... No. 107
Formation enthalpy at 0 K ... 0.161 eV/f.u.


(5)
Entry from Alexandria: a relaxed PrHoTc crystal (GGA-PBE).

Cell: 7.1687 7.1687 7.6416 Å, 90.00 90.00 121.44°
With the nearest neighbours (Å) after each atom.
Positions (direct):
Pr 0.1972 0.8028 0.8874  2 Tc 2.82-2.97
Pr 0.3028 0.6972 0.3874  2 Tc 2.82-2.97
Pr 0.6972 0.3028 0.6126  2 Tc 2.82-2.97
Pr 0.8028 0.1972 0.1126  2 Tc 2.82-2.97
Ho 0.2095 0.2905 0.7500  4 Tc 2.89-2.94
Ho 0.2905 0.2095 0.2500  4 Tc 2.89-2.94
Ho 0.7095 0.7905 0.7500  4 Tc 2.89-2.94
Ho 0.7905 0.7095 0.2500  4 Tc 2.89-2.94
Tc 0.0961 0.9039 0.5362  1 Tc 2.47
Tc 0.4039 0.5961 0.0362  1 Tc 2.47
Tc 0.5961 0.4039 0.9638  1 Tc 2.47
Tc 0.9039 0.0961 0.4638  1 Tc 2.47

SG ... No. 64
Formation enthalpy at 0 K ... 0.230 eV/f.u.


(6)
Entry from Alexandria: a relaxed PrHo2Tc crystal (GGA-PBE).

Cell: 7.5240 9.1750 6.3801 Å, 90.00 90.00 90.00°
With the nearest neighbours (Å) after each atom.
Positions (direct):
Pr 0.0427 0.2500 0.1250  2 Tc 2.80-2.95
Pr 0.4573 0.7500 0.6250  2 Tc 2.80-2.95
Pr 0.5427 0.2500 0.3750  2 Tc 2.80-2.95
Pr 0.9573 0.7500 0.8750  2 Tc 2.80-2.95
Ho 0.1749 0.0648 0.6575  2 Tc 2.86-2.98
Ho 0.1749 0.4352 0.6575  2 Tc 2.86-2.98
Ho 0.3251 0.5648 0.1575  2 Tc 2.86-2.98
Ho 0.3251 0.9352 0.1575  2 Tc 2.86-2.98
Ho 0.6749 0.0648 0.8425  2 Tc 2.86-2.98
Ho 0.6749 0.4352 0.8425  2 Tc 2.86-2.98
Ho 0.8251 0.5648 0.3425  2 Tc 2.86-2.98
Ho 0.8251 0.9352 0.3425  2 Tc 2.86-2.98
Tc 0.1158 0.7500 0.4524  2 Pr 2.80-2.95, 4 Ho 2.86-2.98
Tc 0.3842 0.2500 0.9524  2 Pr 2.80-2.95, 4 Ho 2.86-2.98
Tc 0.6158 0.7500 0.0476  2 Pr 2.80-2.95, 4 Ho 2.86-2.98
Tc 0.8842 0.2500 0.5476  2 Pr 2.80-2.95, 4 Ho 2.86-2.98

SG ... No. 62
Formation enthalpy at 0 K ... -0.230 eV/f.u.


no.,DOS(E_F) (states/eV per atom)
1,1.566
2,1.372
3,1.529
4,1.395
5,1.138
6,0.865